No. 1
# PrYCd14, optimized geometry, DFT PBE
data_PrYCd14
_chemical_formula_sum 'Pr1 Y1 Cd14'
_space_group_name_H-M_alt 'P 4/m m m'
_space_group_IT_number 123
_space_group_name_Hall '-P 4 2'
_cell_length_a 6.669
_cell_length_b 6.669
_cell_length_c 8.487
_cell_angle_alpha 90.00
_cell_angle_beta 90.00
_cell_angle_gamma 90.00
loop_
_atom_site_label
_atom_site_type_symbol
_atom_site_fract_x
_atom_site_fract_y
_atom_site_fract_z
Pr1 Pr 0.000 0.000 0.000
Y1 Y 0.500 0.500 0.000
Cd1 Cd 0.000 0.000 0.500
Cd2 Cd 0.000 0.500 0.000
Cd3 Cd 0.000 0.500 0.500
Cd4 Cd 0.253 0.253 0.261
Cd5 Cd 0.500 0.500 0.500
# - ΔH_f (0 K): -0.148 eV per atom

=====

No. 2
# PmDyErAg, optimized geometry, DFT PBE
data_PmDyErAg
_chemical_formula_sum 'Pm1 Dy1 Er1 Ag1'
_space_group_name_H-M_alt 'P 4 m m'
_space_group_IT_number 99
_cell_length_a 3.607
_cell_length_b 3.607
_cell_length_c 8.723
_cell_angle_alpha 90.00
_cell_angle_beta 90.00
_cell_angle_gamma 90.00
loop_
_space_group_symop_operation_xyz
'x,y,z'
'-y,x,z'
'-x,-y,z'
'y,-x,z'
'-x,y,z'
'y,x,z'
'x,-y,z'
'-y,-x,z'
loop_
_atom_site_label
_atom_site_type_symbol
_atom_site_fract_x
_atom_site_fract_y
_atom_site_fract_z
Pm1 Pm 0.000 0.000 0.000
Dy1 Dy 0.500 0.500 0.708
Er1 Er 0.500 0.500 0.291
Ag1 Ag 0.000 0.000 0.495
# - ΔH_f (0 K): -0.137 eV per atom

=====

No. 3
# V2CrGe, optimized geometry, DFT PBE
data_V2CrGe
_chemical_formula_sum 'V8 Cr4 Ge4'
_space_group_name_H-M_alt 'C m c m'
_space_group_IT_number 63
_space_group_name_Hall '-C 2c 2'
_cell_length_a 2.538
_cell_length_b 19.785
_cell_length_c 4.244
_cell_angle_alpha 90.00
_cell_angle_beta 90.00
_cell_angle_gamma 90.00
loop_
_atom_site_label
_atom_site_type_symbol
_atom_site_fract_x
_atom_site_fract_y
_atom_site_fract_z
V1 V 0.000 0.030 0.250
V2 V 0.000 0.217 0.750
Cr1 Cr 0.000 0.154 0.250
Ge1 Ge 0.000 0.405 0.250
# - ΔH_f (0 K): 0.183 eV per atom

=====

No. 4
# Zr2Sc3In2, optimized geometry, DFT PBE
data_Zr2Sc3In2
_chemical_formula_sum 'Zr2 Sc3 In2'
_space_group_name_H-M_alt 'P 1 2/m 1'
_space_group_IT_number 10
_cell_length_a 5.119
_cell_length_b 3.088
_cell_length_c 10.337
_cell_angle_alpha 90.00
_cell_angle_beta 104.33
_cell_angle_gamma 90.00
loop_
_space_group_symop_operation_xyz
'x,y,z'
'-x,-y,-z'
'-x,y,-z'
'x,-y,z'
loop_
_atom_site_label
_atom_site_type_symbol
_atom_site_fract_x
_atom_site_fract_y
_atom_site_fract_z
Zr1 Zr 0.071 0.000 0.143
Sc1 Sc 0.210 0.000 0.421
Sc2 Sc 0.500 0.000 0.000
In1 In 0.357 0.500 0.713
# - ΔH_f (0 K): -0.050 eV per atom

=====

No. 5
# Na3Cu7P4, optimized geometry, DFT PBE
data_Na3Cu7P4
_chemical_formula_sum 'Na6 Cu14 P8'
_space_group_name_H-M_alt 'C 1 2/m 1'
_space_group_IT_number 12
_cell_length_a 14.861
_cell_length_b 3.967
_cell_length_c 8.931
_cell_angle_alpha 90.00
_cell_angle_beta 126.65
_cell_angle_gamma 90.00
loop_
_space_group_symop_operation_xyz
'x,y,z'
'-x,-y,-z'
'-x,y,-z'
'x,-y,z'
'x+1/2,y+1/2,z'
'-x+1/2,-y+1/2,-z'
'-x+1/2,y+1/2,-z'
'x+1/2,-y+1/2,z'
loop_
_atom_site_label
_atom_site_type_symbol
_atom_site_fract_x
_atom_site_fract_y
_atom_site_fract_z
Na1 Na 0.000 0.000 0.000
Na2 Na 0.180 0.500 0.676
Cu1 Cu 0.000 0.000 0.500
Cu2 Cu 0.005 0.500 0.262
Cu3 Cu 0.164 0.000 0.409
Cu4 Cu 0.194 0.500 0.028
P1 P 0.108 0.000 0.819
P2 P 0.168 0.500 0.279
# - ΔH_f (0 K): -0.171 eV per atom

=====

No. 6
# BRuPt2C, optimized geometry, DFT PBE
data_BRuPt2C
_chemical_formula_sum 'B1 Ru1 Pt2 C1'
_space_group_name_H-M_alt 'P 4/m m m'
_space_group_IT_number 123
_space_group_name_Hall '-P 4 2'
_cell_length_a 4.705
_cell_length_b 4.705
_cell_length_c 2.848
_cell_angle_alpha 90.00
_cell_angle_beta 90.00
_cell_angle_gamma 90.00
loop_
_atom_site_label
_atom_site_type_symbol
_atom_site_fract_x
_atom_site_fract_y
_atom_site_fract_z
B1 B 0.000 0.000 0.000
Ru1 Ru 0.500 0.500 0.000
Pt1 Pt 0.000 0.500 0.500
C1 C 0.000 0.000 0.500
# - ΔH_f (0 K): 0.599 eV per atom

=====

No. 7
# BaAg12Sn6, optimized geometry, DFT PBE
data_BaAg12Sn6
_chemical_formula_sum 'Ba3 Ag36 Sn18'
_space_group_name_H-M_alt 'R -3 m'
_space_group_IT_number 166
_space_group_name_Hall '-R 3 2"'
_cell_length_a 12.4609
_cell_length_b 12.4609
_cell_length_c 9.9134
_cell_angle_alpha 90.00
_cell_angle_beta 90.00
_cell_angle_gamma 120.00
loop_
_atom_site_label
_atom_site_type_symbol
_atom_site_fract_x
_atom_site_fract_y
_atom_site_fract_z
Ba1 Ba 0.0000 0.0000 0.0000
Ag1 Ag 0.0000 0.3897 0.5000
Ag2 Ag 0.0808 0.1616 0.2981
Sn1 Sn 0.0532 0.5266 0.2444
# - ΔH_f (0 K): 0.019 eV per atom

=====

No. 8
# Te2OsRh, optimized geometry, DFT PBE
data_Te2OsRh
_chemical_formula_sum 'Te6 Os3 Rh3'
_space_group_name_H-M_alt 'R -3 m'
_space_group_IT_number 166
_space_group_name_Hall '-R 3 2"'
_cell_length_a 3.7232
_cell_length_b 3.7232
_cell_length_c 24.4795
_cell_angle_alpha 90.00
_cell_angle_beta 90.00
_cell_angle_gamma 120.00
loop_
_atom_site_label
_atom_site_type_symbol
_atom_site_fract_x
_atom_site_fract_y
_atom_site_fract_z
Te1 Te 0.0000 0.0000 0.1035
Os1 Os 0.0000 0.0000 0.5000
Rh1 Rh 0.0000 0.0000 0.0000
# - ΔE_f (raw): 0.5623 eV/atom

=====

No. 9
# Ba2Ga2Ag, optimized geometry, DFT PBE
data_Ba2Ga2Ag
_chemical_formula_sum 'Ba4 Ga4 Ag2'
_space_group_name_H-M_alt 'I 4/m m m'
_space_group_IT_number 139
_space_group_name_Hall '-I 4 2'
_cell_length_a 3.982
_cell_length_b 3.982
_cell_length_c 20.349
_cell_angle_alpha 90.00
_cell_angle_beta 90.00
_cell_angle_gamma 90.00
loop_
_atom_site_label
_atom_site_type_symbol
_atom_site_fract_x
_atom_site_fract_y
_atom_site_fract_z
Ba1 Ba 0.000 0.000 0.103
Ga1 Ga 0.000 0.500 0.250
Ag1 Ag 0.000 0.000 0.500
# - ΔH_f (0 K): -0.154 eV per atom

=====

No. 10
# LiY2Tc, optimized geometry, DFT PBE
data_LiY2Tc
_chemical_formula_sum 'Li3 Y6 Tc3'
_space_group_name_H-M_alt 'R -3 m'
_space_group_IT_number 166
_space_group_name_Hall '-R 3 2"'
_cell_length_a 3.4549
_cell_length_b 3.4549
_cell_length_c 29.3728
_cell_angle_alpha 90.00
_cell_angle_beta 90.00
_cell_angle_gamma 120.00
loop_
_atom_site_label
_atom_site_type_symbol
_atom_site_fract_x
_atom_site_fract_y
_atom_site_fract_z
Li1 Li 0.0000 0.0000 0.0000
Y1 Y 0.0000 0.0000 0.2359
Tc1 Tc 0.0000 0.0000 0.5000
# - ΔH_f (0 K): 0.215 eV per atom

=====

No. 11
# PaAsH, optimized geometry, DFT PBE
data_PaAsH
_chemical_formula_sum 'Pa4 As4 H4'
_space_group_name_H-M_alt 'P n m a'
_space_group_IT_number 62
_cell_length_a 8.825
_cell_length_b 3.867
_cell_length_c 5.921
_cell_angle_alpha 90.00
_cell_angle_beta 90.00
_cell_angle_gamma 90.00
loop_
_space_group_symop_operation_xyz
'x,y,z'
'-x,-y,-z'
'-x+1/2,-y,z+1/2'
'x+1/2,y,-z+1/2'
'x+1/2,-y+1/2,-z+1/2'
'-x+1/2,y+1/2,z+1/2'
'-x,y+1/2,-z'
'x,-y+1/2,z'
loop_
_atom_site_label
_atom_site_type_symbol
_atom_site_fract_x
_atom_site_fract_y
_atom_site_fract_z
Pa1 Pa 0.107 0.250 0.207
As1 As 0.142 0.250 0.699
H1 H 0.079 0.750 0.027
# - Final energy: -6.59 eV/atom

=====

No. 12
# Li4FeAu, optimized geometry, DFT PBE
data_Li4FeAu
_chemical_formula_sum 'Li16 Fe4 Au4'
_space_group_name_H-M_alt 'F -4 3 m'
_space_group_IT_number 216
_space_group_name_Hall 'F -4 2 3'
_cell_length_a 6.921
_cell_length_b 6.921
_cell_length_c 6.921
_cell_angle_alpha 90.00
_cell_angle_beta 90.00
_cell_angle_gamma 90.00
loop_
_atom_site_label
_atom_site_type_symbol
_atom_site_fract_x
_atom_site_fract_y
_atom_site_fract_z
Li1 Li 0.125 0.125 0.125
Fe1 Fe 0.000 0.000 0.500
Au1 Au 0.250 0.250 0.750
# - ΔH_f (0 K): 0.129 eV per atom

=====

No. 13
# CdPtAu3, optimized geometry, DFT PBE
data_CdPtAu3
_chemical_formula_sum 'Cd1 Pt1 Au3'
_space_group_name_H-M_alt 'P m -3 m'
_space_group_IT_number 221
_space_group_name_Hall '-P 4 2 3'
_cell_length_a 5.086
_cell_length_b 5.086
_cell_length_c 5.086
_cell_angle_alpha 90.00
_cell_angle_beta 90.00
_cell_angle_gamma 90.00
loop_
_atom_site_label
_atom_site_type_symbol
_atom_site_fract_x
_atom_site_fract_y
_atom_site_fract_z
Cd1 Cd 0.000 0.000 0.000
Pt1 Pt 0.500 0.500 0.500
Au1 Au 0.000 0.500 0.500
# - ΔH_f (0 K): 0.612 eV per atom

=====

No. 14
# YCo2Se, optimized geometry, DFT PBE
data_YCo2Se
_chemical_formula_sum 'Y1 Co2 Se1'
_space_group_name_H-M_alt 'P 4 m m'
_space_group_IT_number 99
_cell_length_a 3.480
_cell_length_b 3.480
_cell_length_c 6.123
_cell_angle_alpha 90.00
_cell_angle_beta 90.00
_cell_angle_gamma 90.00
loop_
_space_group_symop_operation_xyz
'x,y,z'
'-y,x,z'
'-x,-y,z'
'y,-x,z'
'-x,y,z'
'y,x,z'
'x,-y,z'
'-y,-x,z'
loop_
_atom_site_label
_atom_site_type_symbol
_atom_site_fract_x
_atom_site_fract_y
_atom_site_fract_z
Y1 Y 0.000 0.000 0.000
Co1 Co 0.000 0.000 0.430
Co2 Co 0.500 0.500 0.369
Se1 Se 0.500 0.500 0.771
# - ΔE_f (raw): -0.1748 eV/atom

=====

No. 15
# SrLaB, optimized geometry, DFT PBE
data_SrLaB
_chemical_formula_sum 'Sr4 La4 B4'
_space_group_name_H-M_alt 'I m m m'
_space_group_IT_number 71
_space_group_name_Hall '-I 2 2'
_cell_length_a 3.728
_cell_length_b 8.012
_cell_length_c 13.230
_cell_angle_alpha 90.00
_cell_angle_beta 90.00
_cell_angle_gamma 90.00
loop_
_atom_site_label
_atom_site_type_symbol
_atom_site_fract_x
_atom_site_fract_y
_atom_site_fract_z
Sr1 Sr 0.000 0.000 0.240
La1 La 0.000 0.229 0.000
B1 B 0.000 0.500 0.439
# - ΔH_f (0 K): 0.069 eV per atom

=====

No. 16
# RbSr2V, optimized geometry, DFT PBE
data_RbSr2V
_chemical_formula_sum 'Rb4 Sr8 V4'
_space_group_name_H-M_alt 'I -4 2 d'
_space_group_IT_number 122
_space_group_name_Hall 'I -4 2bw'
_cell_length_a 10.198
_cell_length_b 10.198
_cell_length_c 8.003
_cell_angle_alpha 90.00
_cell_angle_beta 90.00
_cell_angle_gamma 90.00
loop_
_atom_site_label
_atom_site_type_symbol
_atom_site_fract_x
_atom_site_fract_y
_atom_site_fract_z
Rb1 Rb 0.000 0.000 0.000
Sr1 Sr 0.175 0.250 0.625
V1 V 0.000 0.000 0.500
# - ΔH_f (0 K): 0.845 eV per atom

=====

No. 17
# TmTcMoW, optimized geometry, DFT PBE
data_TmTcMoW
_chemical_formula_sum 'Tm4 Tc4 Mo4 W4'
_space_group_name_H-M_alt 'F -4 3 m'
_space_group_IT_number 216
_space_group_name_Hall 'F -4 2 3'
_cell_length_a 6.505
_cell_length_b 6.505
_cell_length_c 6.505
_cell_angle_alpha 90.00
_cell_angle_beta 90.00
_cell_angle_gamma 90.00
loop_
_atom_site_label
_atom_site_type_symbol
_atom_site_fract_x
_atom_site_fract_y
_atom_site_fract_z
Tm1 Tm 0.000 0.000 0.000
Tc1 Tc 0.250 0.250 0.250
Mo1 Mo 0.250 0.250 0.750
W1 W 0.000 0.000 0.500
# - ΔH_f (0 K): 0.127 eV per atom

=====

No. 18
# GePd6Pb2, optimized geometry, DFT PBE
data_GePd6Pb2
_chemical_formula_sum 'Ge2 Pd12 Pb4'
_space_group_name_H-M_alt 'C 1 2/m 1'
_space_group_IT_number 12
_cell_length_a 12.876
_cell_length_b 7.294
_cell_length_c 3.931
_cell_angle_alpha 90.00
_cell_angle_beta 107.62
_cell_angle_gamma 90.00
loop_
_space_group_symop_operation_xyz
'x,y,z'
'-x,-y,-z'
'-x,y,-z'
'x,-y,z'
'x+1/2,y+1/2,z'
'-x+1/2,-y+1/2,-z'
'-x+1/2,y+1/2,-z'
'x+1/2,-y+1/2,z'
loop_
_atom_site_label
_atom_site_type_symbol
_atom_site_fract_x
_atom_site_fract_y
_atom_site_fract_z
Ge1 Ge 0.000 0.000 0.000
Pd1 Pd 0.000 0.206 0.500
Pd2 Pd 0.165 0.216 0.165
Pb1 Pb 0.148 0.500 0.648
# - ΔH_f (0 K): -0.255 eV per atom

=====

No. 19
# Ba3TcB, optimized geometry, DFT PBE
data_Ba3TcB
_chemical_formula_sum 'Ba3 Tc1 B1'
_space_group_name_H-M_alt 'P m -3 m'
_space_group_IT_number 221
_space_group_name_Hall '-P 4 2 3'
_cell_length_a 5.808
_cell_length_b 5.808
_cell_length_c 5.808
_cell_angle_alpha 90.00
_cell_angle_beta 90.00
_cell_angle_gamma 90.00
loop_
_atom_site_label
_atom_site_type_symbol
_atom_site_fract_x
_atom_site_fract_y
_atom_site_fract_z
Ba1 Ba 0.000 0.000 0.500
Tc1 Tc 0.500 0.500 0.500
B1 B 0.000 0.000 0.000
# - ΔH_f (0 K): 1.127 eV per atom

=====

No. 20
# CsTiAg2Cl8, optimized geometry, DFT PBE
data_CsTiAg2Cl8
_chemical_formula_sum 'Cs1 Ti1 Ag2 Cl8'
_space_group_name_H-M_alt 'P -1'
_space_group_IT_number 2
_cell_length_a 6.399
_cell_length_b 6.914
_cell_length_c 8.644
_cell_angle_alpha 78.15
_cell_angle_beta 82.93
_cell_angle_gamma 89.01
loop_
_space_group_symop_operation_xyz
'x,y,z'
'-x,-y,-z'
loop_
_atom_site_label
_atom_site_type_symbol
_atom_site_fract_x
_atom_site_fract_y
_atom_site_fract_z
Cs1 Cs 0.000 0.000 0.000
Ti1 Ti 0.000 0.500 0.500
Ag1 Ag 0.434 0.497 0.202
Cl1 Cl 0.129 0.504 0.745
Cl2 Cl 0.245 0.750 0.368
Cl3 Cl 0.247 0.255 0.452
Cl4 Cl 0.492 0.227 0.042
# - ΔE_f (raw): -1.1434 eV/atom

=====

No. 21
# Nd3YFe, optimized geometry, DFT PBE
data_Nd3YFe
_chemical_formula_sum 'Nd3 Y1 Fe1'
_space_group_name_H-M_alt 'P m -3 m'
_space_group_IT_number 221
_space_group_name_Hall '-P 4 2 3'
_cell_length_a 5.398
_cell_length_b 5.398
_cell_length_c 5.398
_cell_angle_alpha 90.00
_cell_angle_beta 90.00
_cell_angle_gamma 90.00
loop_
_atom_site_label
_atom_site_type_symbol
_atom_site_fract_x
_atom_site_fract_y
_atom_site_fract_z
Nd1 Nd 0.000 0.000 0.500
Y1 Y 0.500 0.500 0.500
Fe1 Fe 0.000 0.000 0.000
# - ΔH_f (0 K): 0.206 eV per atom

=====

No. 22
# Ho2HfI, optimized geometry, DFT PBE
data_Ho2HfI
_chemical_formula_sum 'Ho6 Hf3 I3'
_space_group_name_H-M_alt 'R -3 m'
_space_group_IT_number 166
_space_group_name_Hall '-R 3 2"'
_cell_length_a 3.4806
_cell_length_b 3.4806
_cell_length_c 33.6363
_cell_angle_alpha 90.00
_cell_angle_beta 90.00
_cell_angle_gamma 120.00
loop_
_atom_site_label
_atom_site_type_symbol
_atom_site_fract_x
_atom_site_fract_y
_atom_site_fract_z
Ho1 Ho 0.0000 0.0000 0.0916
Hf1 Hf 0.0000 0.0000 0.0000
I1 I 0.0000 0.0000 0.5000
# - ΔE_f (raw): 0.2305 eV/atom

=====

No. 23
# Cr2CoAs, optimized geometry, DFT PBE
data_Cr2CoAs
_chemical_formula_sum 'Cr8 Co4 As4'
_space_group_name_H-M_alt 'I -4 2 d'
_space_group_IT_number 122
_space_group_name_Hall 'I -4 2bw'
_cell_length_a 6.560
_cell_length_b 6.560
_cell_length_c 4.886
_cell_angle_alpha 90.00
_cell_angle_beta 90.00
_cell_angle_gamma 90.00
loop_
_atom_site_label
_atom_site_type_symbol
_atom_site_fract_x
_atom_site_fract_y
_atom_site_fract_z
Cr1 Cr 0.233 0.250 0.125
Co1 Co 0.000 0.000 0.000
As1 As 0.000 0.000 0.500
# - ΔH_f (0 K): 0.463 eV per atom

=====

No. 24
# TiBe3I, optimized geometry, DFT PBE
data_TiBe3I
_chemical_formula_sum 'Ti1 Be3 I1'
_space_group_name_H-M_alt 'P m -3 m'
_space_group_IT_number 221
_space_group_name_Hall '-P 4 2 3'
_cell_length_a 4.782
_cell_length_b 4.782
_cell_length_c 4.782
_cell_angle_alpha 90.00
_cell_angle_beta 90.00
_cell_angle_gamma 90.00
loop_
_atom_site_label
_atom_site_type_symbol
_atom_site_fract_x
_atom_site_fract_y
_atom_site_fract_z
Ti1 Ti 0.000 0.000 0.000
Be1 Be 0.000 0.000 0.500
I1 I 0.500 0.500 0.500
# - ΔE_f (raw): 1.6035 eV/atom

=====

No. 25
# Pm4InTe3, optimized geometry, DFT PBE
data_Pm4InTe3
_chemical_formula_sum 'Pm8 In2 Te6'
_space_group_name_H-M_alt 'C m m m'
_space_group_IT_number 65
_space_group_name_Hall '-C 2 2'
_cell_length_a 9.021
_cell_length_b 12.664
_cell_length_c 4.455
_cell_angle_alpha 90.00
_cell_angle_beta 90.00
_cell_angle_gamma 90.00
loop_
_atom_site_label
_atom_site_type_symbol
_atom_site_fract_x
_atom_site_fract_y
_atom_site_fract_z
Pm1 Pm 0.000 0.245 0.000
Pm2 Pm 0.245 0.000 0.500
In1 In 0.000 0.000 0.000
Te1 Te 0.000 0.500 0.000
Te2 Te 0.250 0.250 0.500
# - ΔE_f (raw): -1.1856 eV/atom

=====

| no. | N(E_F) (states/eV per atom) | total magnetic moment (μB/f.u.) |
| --- | --- | --- |
| 1 | 0.350 | 0.00 |
| 2 | 1.215 | 0.00 |
| 3 | 0.884 | 0.00 |
| 4 | 1.003 | 0.59 |
| 5 | 0.323 | 0.00 |
| 6 | 1.077 | 1.01 |
| 7 | 0.388 | 0.00 |
| 8 | 1.497 | 0.00 |
| 9 | 0.810 | 0.00 |
| 10 | 0.907 | 0.00 |
| 11 | 1.199 | 0.54 |
| 12 | 0.828 | 2.74 |
| 13 | 1.075 | 0.00 |
| 14 | 0.968 | 3.45 |
| 15 | 1.023 | 0.00 |
| 16 | 1.291 | 5.40 |
| 17 | 1.501 | 0.00 |
| 18 | 0.333 | 0.00 |
| 19 | 1.631 | 2.44 |
| 20 | 0.575 | 0.00 |
| 21 | 1.796 | 0.01 |
| 22 | 1.458 | 1.26 |
| 23 | 1.436 | 1.60 |
| 24 | 1.144 | 0.00 |
| 25 | 0.383 | 0.00 |